4
Lattice="4.2283 0.0000 0.0000 0.0000 4.2283 0.0000 0.0000 0.0000 4.3816" Properties=species:S:1:pos:R:3 comment="KSi2P | Alexandria via LeMat-Bulk | PBE-GGA | relaxed" rho_kg_m3=2676 raw_formation_energy_ev_per_atom=0.686 de_polymorph_ev_per_atom=0.588 e_tot_ev_per_atom=-3.652 pbc="T T T"
K 0.0000 0.0000 0.0000
Si 0.0000 2.1141 2.1908
Si 2.1141 0.0000 2.1908
P 2.1141 2.1141 0.0000

***

18
Lattice="6.7294 0.0000 0.0000 0.0000 6.7132 0.0000 -2.4778 0.0000 6.4906" Properties=species:S:1:pos:R:3 comment="Pu2Re3Si4 | Alexandria via LeMat-Bulk | PBE-GGA | relaxed" rho_kg_m3=13127 raw_formation_energy_ev_per_atom=-0.426 e_tot_ev_per_atom=-10.170 pbc="T T T"
Pu 1.1033 1.0651 0.3275
Pu -0.1356 2.2915 3.5728
Pu 4.3872 4.4218 2.9178
Pu 3.1483 5.6481 6.1631
Re 1.0260 4.3547 1.6676
Re -0.2129 5.7152 4.9129
Re 2.1258 0.0000 3.2453
Re 3.3647 3.3566 0.0000
Re 4.4645 0.9980 1.5777
Re 3.2257 2.3586 4.8230
Si -1.4967 3.7140 5.6970
Si -0.2578 6.3559 2.4517
Si 1.7483 4.3229 4.1138
Si 2.9872 5.7470 0.8685
Si 1.2645 0.9663 5.6221
Si 2.5033 2.3903 2.3768
Si 4.5094 0.3574 4.0389
Si 5.7483 2.9992 0.7936

***

4
Lattice="1.8938 1.0934 12.3517 -1.8938 1.0934 12.3517 0.0000 -2.1868 12.3517" Properties=species:S:1:pos:R:3 comment="KLa2Tl | Alexandria via LeMat-Bulk | PBE-GGA | relaxed" e_form_ev_per_atom=0.0159 rho_kg_m3=5641 de_polymorph_ev_per_atom=0.032 e_tot_ev_per_atom=-3.314 pbc="T T T"
K 0.0000 0.0000 0.0000
La 0.0000 0.0000 19.0324
La 0.0000 0.0000 28.5388
Tl 0.0000 0.0000 9.3860

***

6
Lattice="1.3791 -7.8136 0.0000 1.3791 7.8136 0.0000 0.0000 0.0000 4.0794" Properties=species:S:1:pos:R:3 comment="NbNiPd | Alexandria via LeMat-Bulk | PBE-GGA | relaxed" e_form_ev_per_atom=-0.2878 rho_kg_m3=9747 de_polymorph_ev_per_atom=0.050 e_tot_ev_per_atom=-7.302 pbc="T T T"
Nb 1.3791 6.1198 3.0596
Nb 1.3791 -6.1198 1.0199
Ni 1.3791 0.6382 3.0596
Ni 1.3791 -0.6382 1.0199
Pd 1.3791 3.2225 3.0596
Pd 1.3791 -3.2225 1.0199